{
  "formula": "Pm12Gd3Sc5",
  "functional": "PBE",
  "state": "relaxed",
  "lattice_angstrom": [[16.0079, 0.0000, 0.0000], [-5.3360, 15.0924, 0.0000], [-5.3360, -7.5462, 13.0704]],
  "species": ["Sc", "Sc", "Sc", "Sc", "Sc", "Sc", "Sc", "Sc", "Sc", "Sc", "Sc", "Sc", "Sc", "Sc", "Sc", "Sc", "Sc", "Sc", "Sc", "Sc", "Pm", "Pm", "Pm", "Pm", "Pm", "Pm", "Pm", "Pm", "Pm", "Pm", "Pm", "Pm", "Pm", "Pm", "Pm", "Pm", "Pm", "Pm", "Pm", "Pm", "Pm", "Pm", "Pm", "Pm", "Pm", "Pm", "Pm", "Pm", "Pm", "Pm", "Pm", "Pm", "Pm", "Pm", "Pm", "Pm", "Pm", "Pm", "Pm", "Pm", "Pm", "Pm", "Pm", "Pm", "Pm", "Pm", "Pm", "Pm", "Gd", "Gd", "Gd", "Gd", "Gd", "Gd", "Gd", "Gd", "Gd", "Gd", "Gd", "Gd"],
  "fractional_positions": [[0.1250, 0.7500, 0.3750], [0.0000, 0.0000, 0.0000], [0.0000, 0.5000, 0.5000], [0.3750, 0.2500, 0.1250], [0.0000, 0.5000, 0.0000], [0.7500, 0.6250, 0.3750], [0.0000, 0.0000, 0.5000], [0.1250, 0.3750, 0.2500], [0.5000, 0.5000, 0.0000], [0.7500, 0.1250, 0.8750], [0.3750, 0.1250, 0.7500], [0.5000, 0.0000, 0.0000], [0.8750, 0.6250, 0.7500], [0.2500, 0.8750, 0.1250], [0.5000, 0.0000, 0.5000], [0.6250, 0.7500, 0.8750], [0.6250, 0.8750, 0.2500], [0.5000, 0.5000, 0.5000], [0.2500, 0.3750, 0.6250], [0.8750, 0.2500, 0.6250], [0.8716, 0.5943, 0.9332], [0.7226, 0.1284, 0.0616], [0.5668, 0.9384, 0.6611], [0.7774, 0.4384, 0.3716], [0.0668, 0.1611, 0.4384], [0.0943, 0.1611, 0.2226], [0.0943, 0.9332, 0.3716], [0.1611, 0.0668, 0.9384], [0.1611, 0.0943, 0.7226], [0.8389, 0.9332, 0.0616], [0.2226, 0.6611, 0.0943], [0.5668, 0.6284, 0.4057], [0.4332, 0.0616, 0.3389], [0.5943, 0.8716, 0.4332], [0.6284, 0.5668, 0.9057], [0.9384, 0.5668, 0.1611], [0.3716, 0.9384, 0.7774], [0.0616, 0.6284, 0.7226], [0.2226, 0.5616, 0.6284], [0.9057, 0.0668, 0.6284], [0.9332, 0.8389, 0.5616], [0.0616, 0.4332, 0.8389], [0.0668, 0.9057, 0.1284], [0.1284, 0.7226, 0.5616], [0.5616, 0.3389, 0.9332], [0.6611, 0.2226, 0.5943], [0.2774, 0.4057, 0.8389], [0.9332, 0.0943, 0.8716], [0.4384, 0.7774, 0.8716], [0.3716, 0.4332, 0.0943], [0.8389, 0.9057, 0.2774], [0.5943, 0.7226, 0.6611], [0.7226, 0.5943, 0.1611], [0.7774, 0.3389, 0.9057], [0.9057, 0.8389, 0.7774], [0.4384, 0.6611, 0.0668], [0.3389, 0.5616, 0.4332], [0.4332, 0.3716, 0.5943], [0.6284, 0.0616, 0.2226], [0.6611, 0.4384, 0.5668], [0.3389, 0.7774, 0.4057], [0.8716, 0.2774, 0.4384], [0.9384, 0.3716, 0.2774], [0.1284, 0.4057, 0.0668], [0.4057, 0.1284, 0.5668], [0.2774, 0.8716, 0.9384], [0.5616, 0.2226, 0.1284], [0.4057, 0.2774, 0.3389], [0.3750, 0.6250, 0.2500], [0.7500, 0.8750, 0.6250], [0.1250, 0.8750, 0.7500], [0.6250, 0.3750, 0.7500], [0.2500, 0.1250, 0.3750], [0.2500, 0.6250, 0.8750], [0.8750, 0.7500, 0.1250], [0.1250, 0.2500, 0.8750], [0.3750, 0.7500, 0.6250], [0.8750, 0.1250, 0.2500], [0.6250, 0.2500, 0.3750], [0.7500, 0.3750, 0.1250]],
  "energy_ev_per_cell": -443.49,
  "magnetic_moment_mub_per_cell": 111.814,
  "spacegroup": "Ia-3d (230)"
}

***

{
  "formula": "TlZn4Pd7",
  "functional": "PBE",
  "state": "relaxed",
  "lattice_angstrom": [[-0.8841, -1.7611, -4.6014], [5.9952, -5.0910, -1.9261], [-2.8046, -5.1891, -0.1977]],
  "species": ["Tl", "Zn", "Zn", "Zn", "Zn", "Pd", "Pd", "Pd", "Pd", "Pd", "Pd", "Pd"],
  "fractional_positions": [[0.0000, 0.0000, 0.0000], [0.5630, 0.2451, 0.6289], [0.2625, 0.3203, 0.1548], [0.7375, 0.6797, 0.8452], [0.4370, 0.7549, 0.3711], [0.7815, 0.9300, 0.5070], [0.9606, 0.3719, 0.7068], [0.3335, 0.5554, 0.7776], [0.0394, 0.6281, 0.2932], [0.6665, 0.4446, 0.2224], [0.2185, 0.0700, 0.4930], [0.5000, 0.0000, 0.0000]],
  "energy_ev_per_cell": -46.01,
  "magnetic_moment_mub_per_cell": 0.000,
  "spacegroup": "C2/m (12)"
}

***

{
  "formula": "Sc2HgMo",
  "functional": "PBE",
  "state": "relaxed",
  "lattice_angstrom": [[5.4096, 0.0010, 0.0278], [4.5392, 2.9426, 0.0278], [0.9315, 0.2756, 5.1051]],
  "species": ["Sc", "Sc", "Hg", "Mo"],
  "fractional_positions": [[0.9816, 0.9816, 0.0575], [0.7647, 0.7647, 0.7065], [0.5136, 0.5136, 0.5302], [0.2401, 0.2401, 0.2057]],
  "energy_ev_per_cell": -23.61,
  "magnetic_moment_mub_per_cell": 0.000,
  "spacegroup": "Cm (8)"
}

***

{
  "formula": "TbHo2Pb",
  "functional": "PBE",
  "state": "relaxed",
  "lattice_angstrom": [[3.6233, 0.0000, 0.0000], [0.0000, 3.6233, 0.0000], [0.0000, 0.0000, 9.2223]],
  "species": ["Pb", "Ho", "Ho", "Tb"],
  "fractional_positions": [[0.5000, 0.5000, 0.0000], [0.0000, 0.0000, 0.7650], [0.0000, 0.0000, 0.2350], [0.5000, 0.5000, 0.5000]],
  "energy_ev_per_cell": -18.31,
  "magnetic_moment_mub_per_cell": 0.000,
  "relative_energy_mev_per_atom": 70.2,
  "spacegroup": "P4/mmm (123)"
}